# FePAuC2, relaxed, DFT GGA-PBE
data_FePAuC2
_chemical_formula_sum 'Fe2 P2 Au2 C4'
_cell_length_a 3.8800
_cell_length_b 2.7704
_cell_length_c 12.9121
_cell_angle_alpha 90.00
_cell_angle_beta 90.00
_cell_angle_gamma 90.00
_space_group_name_H-M_alt 'A m m 2'
_space_group_IT_number 38
loop_
_space_group_symop_operation_xyz
'x,y,z'
'-x,-y,z'
'-x,y,z'
'x,-y,z'
'x,y+1/2,z+1/2'
'-x,-y+1/2,z+1/2'
'-x,y+1/2,z+1/2'
'x,-y+1/2,z+1/2'
loop_
_atom_site_label
_atom_site_fract_x
_atom_site_fract_y
_atom_site_fract_z
_atom_site_occupancy
Fe1 0.0000 0.0000 0.0000 1
P1 0.0000 0.0000 0.3397 1
Au1 0.0000 0.0000 0.6767 1
C1 0.3186 0.0000 0.4413 1
# **Energy above the lowest structure with this stoichiometry**: 0.1972 eV/atom
# **Crystal system**: orthorhombic
# **Energy relative to the elements**: 53.53 kJ/mol of atoms

# FePAuC2, relaxed, DFT GGA-PBE
data_FePAuC2
_chemical_formula_sum 'Fe2 P2 Au2 C4'
_cell_length_a 5.6030
_cell_length_b 3.9581
_cell_length_c 6.2412
_cell_angle_alpha 90.00
_cell_angle_beta 110.24
_cell_angle_gamma 90.00
_space_group_name_H-M_alt 'C 1 m 1'
_space_group_IT_number 8
loop_
_space_group_symop_operation_xyz
'x,y,z'
'x,-y,z'
'x+1/2,y+1/2,z'
'x+1/2,-y+1/2,z'
loop_
_atom_site_label
_atom_site_fract_x
_atom_site_fract_y
_atom_site_fract_z
_atom_site_occupancy
Fe1 0.0000 0.0000 0.0000 1
P1 0.3300 0.0000 0.3574 1
Au1 0.2257 0.0000 0.7000 1
C1 0.2567 0.3252 0.1449 1
# **Energy above the lowest structure with this stoichiometry**: 0.2279 eV/atom
# **Crystal system**: monoclinic
# **Energy relative to the elements**: 56.49 kJ/mol of atoms

# Fe2RuAuC, relaxed, DFT GGA-PBE
data_Fe2RuAuC
_chemical_formula_sum 'Fe2 Ru1 Au1 C1'
_cell_length_a 3.9496
_cell_length_b 3.9496
_cell_length_c 4.0139
_cell_angle_alpha 90.00
_cell_angle_beta 90.00
_cell_angle_gamma 90.00
_space_group_name_H-M_alt 'P 4/m m m'
_space_group_IT_number 123
_space_group_name_Hall '-P 4 2'
loop_
_atom_site_label
_atom_site_fract_x
_atom_site_fract_y
_atom_site_fract_z
_atom_site_occupancy
Fe1 0.0000 0.5000 0.0000 1
Ru1 0.0000 0.0000 0.5000 1
Au1 0.5000 0.5000 0.5000 1
C1 0.0000 0.0000 0.0000 1
# **Crystal system**: tetragonal
# **Energy relative to the elements**: 18.51 kJ/mol of atoms

# Sc2FeAuC, relaxed, DFT GGA-PBE
data_Sc2FeAuC
_chemical_formula_sum 'Sc2 Fe1 Au1 C1'
_cell_length_a 4.6171
_cell_length_b 4.6171
_cell_length_c 3.6389
_cell_angle_alpha 90.00
_cell_angle_beta 90.00
_cell_angle_gamma 90.00
_space_group_name_H-M_alt 'P 4/m m m'
_space_group_IT_number 123
_space_group_name_Hall '-P 4 2'
loop_
_atom_site_label
_atom_site_fract_x
_atom_site_fract_y
_atom_site_fract_z
_atom_site_occupancy
Sc1 0.0000 0.5000 0.0000 1
Fe1 0.0000 0.0000 0.5000 1
Au1 0.5000 0.5000 0.5000 1
C1 0.0000 0.0000 0.0000 1
# **Crystal system**: tetragonal
# **Energy relative to the elements**: -53.67 kJ/mol of atoms

# Tb2FeAuC, relaxed, DFT GGA-PBE
data_Tb2FeAuC
_chemical_formula_sum 'Tb2 Fe1 Au1 C1'
_cell_length_a 5.0313
_cell_length_b 5.0313
_cell_length_c 3.6668
_cell_angle_alpha 90.00
_cell_angle_beta 90.00
_cell_angle_gamma 90.00
_space_group_name_H-M_alt 'P 4/m m m'
_space_group_IT_number 123
_space_group_name_Hall '-P 4 2'
loop_
_atom_site_label
_atom_site_fract_x
_atom_site_fract_y
_atom_site_fract_z
_atom_site_occupancy
Tb1 0.0000 0.5000 0.0000 1
Fe1 0.0000 0.0000 0.5000 1
Au1 0.5000 0.5000 0.5000 1
C1 0.0000 0.0000 0.0000 1
# **Crystal system**: tetragonal
# **Energy relative to the elements**: -48.71 kJ/mol of atoms

# FeTcAu2C, relaxed, DFT GGA-PBE
data_FeTcAu2C
_chemical_formula_sum 'Fe1 Tc1 Au2 C1'
_cell_length_a 4.3477
_cell_length_b 4.3477
_cell_length_c 3.8922
_cell_angle_alpha 90.00
_cell_angle_beta 90.00
_cell_angle_gamma 90.00
_space_group_name_H-M_alt 'P 4/m m m'
_space_group_IT_number 123
_space_group_name_Hall '-P 4 2'
loop_
_atom_site_label
_atom_site_fract_x
_atom_site_fract_y
_atom_site_fract_z
_atom_site_occupancy
Fe1 0.0000 0.0000 0.0000 1
Tc1 0.5000 0.5000 0.0000 1
Au1 0.0000 0.5000 0.5000 1
C1 0.0000 0.0000 0.5000 1
# **Energy above the lowest structure with this stoichiometry**: 0.0000 eV/atom
# **Crystal system**: tetragonal
# **Energy relative to the elements**: 90.56 kJ/mol of atoms

# FeTcAu2C, relaxed, DFT GGA-PBE
data_FeTcAu2C
_chemical_formula_sum 'Fe1 Tc1 Au2 C1'
_cell_length_a 4.7937
_cell_length_b 4.7937
_cell_length_c 4.2595
_cell_angle_alpha 90.00
_cell_angle_beta 90.00
_cell_angle_gamma 90.00
_space_group_name_H-M_alt 'P 4/m m m'
_space_group_IT_number 123
_space_group_name_Hall '-P 4 2'
loop_
_atom_site_label
_atom_site_fract_x
_atom_site_fract_y
_atom_site_fract_z
_atom_site_occupancy
Fe1 0.0000 0.0000 0.0000 1
Tc1 0.0000 0.0000 0.5000 1
Au1 0.0000 0.5000 0.0000 1
C1 0.5000 0.5000 0.5000 1
# **Energy above the lowest structure with this stoichiometry**: 1.3588 eV/atom
# **Crystal system**: tetragonal
# **Energy relative to the elements**: 221.66 kJ/mol of atoms

# FeTe2AuC, relaxed, DFT GGA-PBE
data_FeTe2AuC
_chemical_formula_sum 'Fe1 Te2 Au1 C1'
_cell_length_a 4.9775
_cell_length_b 4.9775
_cell_length_c 3.6875
_cell_angle_alpha 90.00
_cell_angle_beta 90.00
_cell_angle_gamma 90.00
_space_group_name_H-M_alt 'P 4/m m m'
_space_group_IT_number 123
_space_group_name_Hall '-P 4 2'
loop_
_atom_site_label
_atom_site_fract_x
_atom_site_fract_y
_atom_site_fract_z
_atom_site_occupancy
Fe1 0.0000 0.0000 0.0000 1
Te1 0.0000 0.5000 0.5000 1
Au1 0.5000 0.5000 0.0000 1
C1 0.0000 0.0000 0.5000 1
# **Crystal system**: tetragonal
# **Formation energy from raw total energies**: 0.925 eV/atom

We obtain total magnetization values of 2.55, 0.00, 5.27, 0.40, 0.27, 5.56, 3.15, 0.00 μB per cell for the records listed above, in that order.